Record 1
CsRb4Mg3F12 | Alexandria via LeMat-Bulk | GGA-PBE | relaxed; E_tot = -89.8 eV/cell
1.0
-4.4565 4.4565 4.4565
4.4565 -4.4565 4.4565
4.4565 4.4565 -4.4565
Cs Rb Mg F
1 4 3 12
Cartesian
0.0000 0.0000 0.0000
2.2282 2.2282 -2.2282
2.2282 -2.2282 2.2282
-2.2282 2.2282 2.2282
2.2282 2.2282 2.2282
4.4565 0.0000 0.0000
0.0000 4.4565 0.0000
0.0000 0.0000 4.4565
2.5933 0.0000 0.0000
6.3196 0.0000 0.0000
4.4565 2.2282 0.0000
4.4565 0.0000 2.2282
0.0000 2.5933 0.0000
0.0000 0.0000 2.5933
2.2282 4.4565 0.0000
2.2282 0.0000 4.4565
0.0000 6.3196 0.0000
0.0000 0.0000 6.3196
0.0000 4.4565 2.2282
0.0000 2.2282 4.4565

=====

Record 2
GePdI2O | Alexandria via LeMat-Bulk | GGA-PBE | relaxed; energy relative to the lowest polymorph listed for this composition = 0.117 eV per atom
1.0
5.6045 0.0000 0.0000
0.0000 5.6045 0.0000
0.0000 0.0000 3.9087
Ge Pd I O
1 1 2 1
Cartesian
0.0000 0.0000 0.0000
2.8023 2.8023 1.9544
0.0000 2.8023 1.9544
2.8023 0.0000 1.9544
2.8023 2.8023 0.0000

=====

Record 3
PaSbPbN | Alexandria via LeMat-Bulk | GGA-PBE | relaxed; E_tot = -57.3 eV/cell
1.0
4.1501 0.0000 0.0000
0.0000 4.1501 0.0000
0.0000 0.0000 11.1292
Pa Sb Pb N
2 2 2 2
Cartesian
1.0375 1.0375 1.0801
3.1125 3.1125 10.0492
1.0375 1.0375 8.3706
3.1125 3.1125 2.7586
1.0375 3.1125 5.5646
3.1125 1.0375 5.5646
1.0375 3.1125 0.0000
3.1125 1.0375 0.0000

=====

Record 4
NaTi2Ge2 | Alexandria via LeMat-Bulk | GGA-PBE | relaxed; energy relative to the lowest polymorph listed for this composition = 0.003 eV per atom; calculated formation energy = -1.47 eV/f.u.
1.0
7.9611 0.0000 0.0000
0.0000 7.9611 0.0000
0.0000 0.0000 2.8472
Na Ti Ge
2 4 4
Cartesian
0.0000 0.0000 0.0000
3.9805 3.9805 0.0000
0.9786 3.0020 0.0000
3.0020 6.9825 0.0000
4.9591 0.9786 0.0000
6.9825 4.9591 0.0000
1.3552 5.3357 1.4236
2.6254 1.3552 1.4236
5.3357 6.6059 1.4236
6.6059 2.6254 1.4236

=====

Record 5
SrBe3I | Alexandria via LeMat-Bulk | GGA-PBE | relaxed; energy relative to the lowest polymorph listed for this composition = 0.478 eV per atom
1.0
6.0350 0.0000 0.0000
0.0000 6.0350 0.0000
0.0000 0.0000 6.0350
Sr Be I
1 3 1
Cartesian
0.0000 0.0000 0.0000
0.0000 0.0000 3.0175
0.0000 3.0175 0.0000
3.0175 0.0000 0.0000
3.0175 3.0175 3.0175

=====

Record 6
HfZnNi2Rh | Alexandria via LeMat-Bulk | GGA-PBE | relaxed; calculated formation energy = 1.84 eV/f.u.
1.0
4.2464 0.0000 0.0000
0.0000 4.2464 0.0000
0.0000 0.0000 4.5556
Hf Zn Ni Rh
1 1 2 1
Cartesian
0.0000 0.0000 0.0000
2.1232 2.1232 2.2778
0.0000 2.1232 2.2778
2.1232 0.0000 2.2778
2.1232 2.1232 0.0000

=====

Record 7
ZrTiFeTc | Alexandria via LeMat-Bulk | GGA-PBE | relaxed; calculated formation energy = -1.29 eV/f.u.
1.0
0.0000 3.1419 3.1419
3.1419 0.0000 3.1419
3.1419 3.1419 0.0000
Zr Ti Fe Tc
1 1 1 1
Cartesian
0.0000 0.0000 0.0000
3.1419 3.1419 3.1419
4.7129 4.7129 4.7129
1.5710 1.5710 1.5710

=====

Record 8
Dy2YErAs4 | Alexandria via LeMat-Bulk | GGA-PBE | relaxed; calculated formation energy = -12.30 eV/f.u.
1.0
7.1191 0.0000 0.0000
0.0000 4.1121 0.0000
-2.3723 0.0000 6.7126
Dy Y Er As
2 1 1 4
Cartesian
0.0000 0.0000 0.0000
-1.1862 2.0561 3.3563
2.3734 0.0000 3.3563
3.5595 2.0561 0.0000
1.1921 2.0561 1.6699
0.0058 0.0000 5.0462
4.7409 0.0000 1.6664
3.5547 2.0561 5.0426